## Mn3Co3Te2O16 (GGA-PBEsol)

Data for Mn3Co3Te2O16 after structural relaxation.

abc: 5.6071 5.6071 9.2607
angles: 90.37 90.37 60.38
With the nearest neighbours (Å) after each atom.
Sites, in units of the cell vectors:
Mn 0.8334 0.8335 0.2183  6 O 1.86-1.93
Mn 0.1710 0.6603 0.7144  6 O 1.85-1.96
Mn 0.6604 0.1710 0.7144  6 O 1.85-1.96
Co 0.3394 0.8315 0.2190  6 O 1.87-1.92
Co 0.8314 0.3395 0.2190  6 O 1.87-1.92
Co 0.1714 0.1714 0.7089  6 O 1.86-1.93
Te 0.6653 0.6653 0.4889  6 O 1.94-2.04
Te 0.3284 0.3285 0.9980  6 O 1.97-2.19
O 0.3189 0.8403 0.5948  1 Co 1.93, 1 Mn 1.95, 1 Te 1.96
O 0.5156 0.5157 0.3321  2 Co 1.87, 1 Te 2.04
O 0.6672 0.6673 0.1152  1 Mn 1.87, 2 Co 1.87
O 0.0018 0.0019 0.3157  1 Mn 1.86, 2 Co 1.88
O 0.0016 0.0015 0.8085  2 Mn 1.87, 1 Co 1.89
O 0.8404 0.3189 0.5948  1 Co 1.93, 1 Mn 1.95, 1 Te 1.96
O 0.5139 0.9709 0.3393  1 Co 1.88, 1 Mn 1.93, 1 Te 2.04
O 0.9708 0.5139 0.3393  1 Co 1.88, 1 Mn 1.93, 1 Te 2.04
O 0.1535 0.1536 0.1045  2 Co 1.90, 1 Te 1.97
O 0.8390 0.8390 0.5942  1 Te 1.94, 2 Mn 1.96
O 0.0272 0.4879 0.8242  1 Mn 1.85, 1 Co 1.87
O 0.4879 0.0272 0.8243  1 Mn 1.85, 1 Co 1.87
O 0.3361 0.3360 0.6062  1 Co 1.86, 2 Mn 1.87
O 0.1586 0.6804 0.1058  1 Mn 1.90, 1 Co 1.92, 1 Te 1.98
O 0.4862 0.4861 0.8301  2 Mn 1.87
O 0.6803 0.1587 0.1058  1 Mn 1.90, 1 Co 1.92, 1 Te 1.98

magnetization	7.96	μB/cell
total DFT energy (no corrections)	-7.19	eV/atom
symmetry	No. 8
calculated volume	253	Å³/f.u.
raw formation energy	-1.207	eV per atom

## Ti2Mn3Co3O16 (GGA-PBEsol)

Data for Ti2Mn3Co3O16 after structural relaxation.

abc: 5.5674 5.5674 8.9253
angles: 89.51 89.51 60.43
With the nearest neighbours (Å) after each atom.
Sites, in units of the cell vectors:
Ti 0.3373 0.3373 0.4919  6 O 1.90-2.04
Ti 0.6662 0.6662 0.9939  6 O 1.88-2.03
Mn 0.1667 0.1667 0.2143  6 O 1.87-1.91
Mn 0.3358 0.8331 0.7142  6 O 1.87-1.90
Mn 0.8331 0.3358 0.7142  6 O 1.87-1.90
Co 0.1650 0.6634 0.2128  6 O 1.85-1.89
Co 0.6634 0.1650 0.2128  6 O 1.85-1.89
Co 0.8324 0.8324 0.7123  6 O 1.85-1.88
O 0.1625 0.6732 0.6011  1 Co 1.88, 1 Ti 1.90, 1 Mn 1.90
O 0.4811 0.4811 0.3279  2 Co 1.85, 1 Ti 2.00
O 0.3350 0.3350 0.1056  2 Co 1.86, 1 Mn 1.88
O 0.9953 0.9953 0.3163  2 Co 1.86, 1 Mn 1.88
O 0.9995 0.9995 0.8191  2 Mn 1.87, 1 Co 1.88
O 0.6732 0.1625 0.6011  1 Co 1.88, 1 Ti 1.90, 1 Mn 1.90
O 0.0345 0.4812 0.3335  1 Co 1.85, 1 Mn 1.87, 1 Ti 2.04
O 0.4812 0.0345 0.3335  1 Co 1.85, 1 Mn 1.87, 1 Ti 2.04
O 0.8377 0.8377 0.1059  2 Co 1.85, 1 Ti 1.94
O 0.1660 0.1660 0.6001  1 Ti 1.90, 2 Mn 1.90
O 0.5212 0.9647 0.8326  1 Co 1.85, 1 Mn 1.87, 1 Ti 2.03
O 0.9647 0.5212 0.8326  1 Co 1.85, 1 Mn 1.87, 1 Ti 2.03
O 0.6671 0.6671 0.6031  1 Co 1.87, 2 Mn 1.88
O 0.3301 0.8344 0.1009  1 Ti 1.88, 1 Co 1.89, 1 Mn 1.91
O 0.5169 0.5169 0.8348  2 Mn 1.87, 1 Ti 2.03
O 0.8344 0.3301 0.1009  1 Ti 1.88, 1 Co 1.89, 1 Mn 1.91

magnetization	11.50	μB/cell
total DFT energy (no corrections)	-8.03	eV/atom
symmetry	No. 8
calculated volume	241	Å³/f.u.
raw formation energy	-1.651	eV per atom